[1]
VASP calculation (SCAN) on a PBEsol-optimized structure of Ta2OsF.

Cell and atoms, written as POSCAR:
```
Ta2OsF
1.0
6.217 0.000 0.000
0.000 6.217 0.000
0.000 0.000 6.217
Ta Os F
8 4 4
Cartesian
1.554 1.554 1.554
1.554 1.554 4.663
1.554 4.663 1.554
1.554 4.663 4.663
4.663 1.554 1.554
4.663 1.554 4.663
4.663 4.663 1.554
4.663 4.663 4.663
0.000 0.000 0.000
0.000 3.109 3.109
3.109 0.000 3.109
3.109 3.109 0.000
0.000 0.000 3.109
0.000 3.109 0.000
3.109 0.000 0.000
3.109 3.109 3.109
```

Space group   Fm-3m, No. 225
D(E_F)   3.97 states/eV/f.u.
Uncorrected formation energy   -1.520 eV per formula unit
Magnetic moment   0.000 μB per formula unit

---

[2]
VASP calculation (SCAN) on a PBEsol-optimized structure of OsAuSe2.

Cell and atoms, written as POSCAR:
```
OsAuSe2
1.0
3.679 0.000 0.000
-1.839 3.186 0.000
0.000 0.000 22.117
Os Au Se
3 3 6
Cartesian
0.000 0.000 0.000
0.000 2.124 14.745
1.839 1.062 7.372
0.000 0.000 11.058
0.000 2.124 3.686
1.839 1.062 18.431
0.000 0.000 8.639
0.000 0.000 13.478
0.000 2.124 1.267
0.000 2.124 6.105
1.839 1.062 16.012
1.839 1.062 20.850
```

Space group   R-3m, No. 166
Distance to the lowest polymorph of the same formula   0.000 eV per atom
D(E_F)   3.51 states/eV/f.u.
Uncorrected formation energy   0.342 eV per formula unit
Magnetic moment   0.000 μB per formula unit

---

[3]
VASP calculation (SCAN) on a PBEsol-optimized structure of CsSi3Tc.

Cell and atoms, written as POSCAR:
```
CsSi3Tc
1.0
5.227 0.000 0.000
0.000 5.227 0.000
0.000 0.000 5.227
Cs Si Tc
1 3 1
Cartesian
0.000 0.000 0.000
0.000 0.000 2.613
0.000 2.613 0.000
2.613 0.000 0.000
2.613 2.613 2.613
```

Space group   Pm-3m, No. 221
D(E_F)   3.22 states/eV/f.u.
Uncorrected formation energy   15.365 eV per formula unit
Magnetic moment   3.290 μB per formula unit

---

[4]
VASP calculation (SCAN) on a PBEsol-optimized structure of TeRu2Cl.

Cell and atoms, written as POSCAR:
```
TeRu2Cl
1.0
3.705 0.000 0.000
0.000 3.705 0.000
0.000 0.000 9.469
Te Ru Cl
2 4 2
Cartesian
0.000 0.000 0.000
1.853 1.853 4.735
0.000 0.000 4.735
0.000 1.853 7.102
1.853 0.000 2.367
1.853 1.853 0.000
0.000 1.853 2.367
1.853 0.000 7.102
```

Space group   I-4m2, No. 119
Distance to the lowest polymorph of the same formula   0.122 eV per atom
D(E_F)   4.12 states/eV/f.u.
Uncorrected formation energy   3.357 eV per formula unit
Magnetic moment   1.621 μB per formula unit

---

[5]
VASP calculation (SCAN) on a PBEsol-optimized structure of NiAs7.

Cell and atoms, written as POSCAR:
```
NiAs7
1.0
0.000 4.110 4.110
4.110 0.000 4.110
4.110 4.110 0.000
Ni As
1 7
Cartesian
0.000 0.000 0.000
2.055 2.055 0.000
2.055 0.000 2.055
4.110 2.055 2.055
0.000 2.055 2.055
2.055 4.110 2.055
2.055 2.055 4.110
4.110 4.110 4.110
```

Space group   Fm-3m, No. 225
Energy relative to the elements   0.54 eV per atom
D(E_F)   4.78 states/eV/f.u.
Magnetic moment   0.000 μB per formula unit

---

[6]
VASP calculation (SCAN) on a PBEsol-optimized structure of Al2PbCl8.

Cell and atoms, written as POSCAR:
```
Al2PbCl8
1.0
11.380 0.000 0.000
0.000 19.770 0.000
0.000 0.000 11.429
Al Pb Cl
16 8 64
Cartesian
0.318 4.715 0.484
0.318 5.170 6.198
2.421 9.929 2.891
2.421 19.726 8.605
3.268 0.044 2.891
3.268 9.841 8.605
5.372 14.600 0.484
5.372 15.055 6.198
6.007 4.715 5.230
6.007 5.170 10.945
8.111 9.929 2.824
8.111 19.726 8.538
8.958 0.044 2.824
8.958 9.841 8.538
11.062 14.600 5.230
11.062 15.055 10.945
2.705 12.359 5.811
2.705 17.296 0.096
2.985 2.474 5.811
2.985 7.411 0.096
8.395 12.359 11.332
8.395 17.296 5.618
8.674 2.474 11.332
8.674 7.411 5.618
0.025 13.290 6.899
0.025 16.365 1.185
0.063 3.090 5.715
0.063 6.795 0.001
0.974 10.290 4.440
0.974 19.365 10.154
1.153 13.975 3.789
1.153 15.680 9.503
1.648 10.000 0.885
1.648 19.655 6.599
1.792 1.574 3.221
1.792 8.311 8.936
2.376 4.632 1.115
2.376 5.253 6.830
2.448 11.826 8.745
2.448 17.829 3.031
3.242 1.941 8.745
3.242 7.944 3.031
3.314 14.517 1.115
3.314 15.138 6.830
3.897 11.459 3.221
3.897 18.196 8.936
4.041 0.115 0.885
4.041 9.770 6.599
4.537 4.090 3.789
4.537 5.795 9.503
4.716 0.405 4.440
4.716 9.480 10.154
5.627 12.975 5.715
5.627 16.680 0.001
5.665 3.405 6.899
5.665 6.480 1.185
5.715 13.290 10.244
5.715 16.365 4.530
5.753 3.090 11.428
5.753 6.795 5.713
6.664 10.290 1.275
6.664 19.365 6.989
6.843 13.975 1.925
6.843 15.680 7.640
7.338 10.000 4.830
7.338 19.655 10.544
7.482 1.574 2.493
7.482 8.311 8.207
8.066 4.632 4.599
8.066 5.253 10.313
8.138 11.826 8.398
8.138 17.829 2.684
8.932 1.941 8.398
8.932 7.944 2.684
9.004 14.517 4.599
9.004 15.138 10.313
9.587 11.459 2.493
9.587 18.196 8.207
9.731 0.115 4.830
9.731 9.770 10.544
10.227 4.090 1.925
10.227 5.795 7.640
10.406 0.405 1.275
10.406 9.480 6.989
11.317 12.975 11.428
11.317 16.680 5.713
11.354 3.405 10.244
11.354 6.480 4.530
```

Space group   Pbca, No. 61
D(E_F)   0.00 states/eV/f.u.
Uncorrected formation energy   -17.642 eV per formula unit
Magnetic moment   0.000 μB per formula unit

---

[7]
VASP calculation (SCAN) on a PBEsol-optimized structure of Ru3Pt5.

Cell and atoms, written as POSCAR:
```
Ru3Pt5
1.0
7.695 0.000 0.000
0.000 7.740 0.000
0.000 0.000 3.843
Ru Pt
6 10
Cartesian
0.000 0.000 0.000
1.885 0.000 1.922
1.962 3.870 1.922
3.848 3.870 0.000
5.733 3.870 1.922
5.810 0.000 1.922
0.000 1.896 1.922
0.000 3.870 0.000
0.000 5.844 1.922
1.924 1.935 0.000
1.924 5.805 0.000
3.848 0.000 0.000
3.848 1.974 1.922
3.848 5.767 1.922
5.771 1.935 0.000
5.771 5.805 0.000
```

Space group   Cmmm, No. 65
Energy relative to the elements   0.04 eV per atom
D(E_F)   9.58 states/eV/f.u.
Magnetic moment   0.001 μB per formula unit

---

[8]
VASP calculation (SCAN) on a PBEsol-optimized structure of LaBe3Br.

Cell and atoms, written as POSCAR:
```
LaBe3Br
1.0
4.583 0.000 0.000
0.000 4.583 0.000
0.000 0.000 4.583
La Be Br
1 3 1
Cartesian
0.000 0.000 0.000
0.000 2.291 2.291
2.291 0.000 2.291
2.291 2.291 0.000
2.291 2.291 2.291
```

Space group   Pm-3m, No. 221
Distance to the lowest polymorph of the same formula   0.000 eV per atom
D(E_F)   3.22 states/eV/f.u.
Uncorrected formation energy   5.304 eV per formula unit
Magnetic moment   0.000 μB per formula unit

---

Please write out number 7 again, unchanged.
VASP calculation (SCAN) on a PBEsol-optimized structure of Ru3Pt5.

Cell and atoms, written as POSCAR:
```
Ru3Pt5
1.0
7.695 0.000 0.000
0.000 7.740 0.000
0.000 0.000 3.843
Ru Pt
6 10
Cartesian
0.000 0.000 0.000
1.885 0.000 1.922
1.962 3.870 1.922
3.848 3.870 0.000
5.733 3.870 1.922
5.810 0.000 1.922
0.000 1.896 1.922
0.000 3.870 0.000
0.000 5.844 1.922
1.924 1.935 0.000
1.924 5.805 0.000
3.848 0.000 0.000
3.848 1.974 1.922
3.848 5.767 1.922
5.771 1.935 0.000
5.771 5.805 0.000
```

Space group   Cmmm, No. 65
Energy relative to the elements   0.04 eV per atom
D(E_F)   9.58 states/eV/f.u.
Magnetic moment   0.001 μB per formula unit